{"formula": "FeAsRhO2", "functional": "PBE+U", "state": "relaxed", "lattice_angstrom": [[-0.617, 3.640, -0.688], [0.062, -1.049, -5.601], [-3.704, -0.614, 0.074]], "species": ["As", "Rh", "Fe", "O", "O"], "fractional_positions": [[0.500, 0.500, 0.500], [0.000, 0.000, 0.000], [0.000, 0.500, 0.000], [0.000, 0.000, 0.500], [0.500, 0.000, 0.000]], "total_energy_ry_per_atom": -0.3927, "space_group": "P4/mmm (123)"}